Material: TmHfFeSi2
Method: DFT, PBE-GGA
State: optimized geometry

a = 5.390 Å, b = 5.390 Å, c = 9.628 Å
α = 116.27°, β = 116.27°, γ = 43.19°
Atoms (fractional coordinates):
Tm 0.189 0.189 0.106
Tm 0.811 0.811 0.894
Hf 0.004 0.004 0.332
Hf 0.996 0.996 0.668
Fe 0.271 0.271 0.619
Fe 0.729 0.729 0.381
Si 0.355 0.355 0.433
Si 0.494 0.494 0.135
Si 0.506 0.506 0.865
Si 0.645 0.645 0.567

- total energy (eV per atom) = -7.470
- calculated volume (Å³ per cell) = 168.4
- M_tot (μB per formula unit) = 0.02
- energy above the lowest structure with this stoichiometry (kJ/mol of formula units) = 0.0
- symmetry = C2/m
- crystal system = monoclinic